VASP calculation (PBE-GGA) on a geometry-optimized BaAl2CdAu5 structure.

Summary:
The formation energy is -3.1 eV/f.u. For the uncorrected energy, the calculation gives -3.3097 eV/atom.

```
data_BaAl2CdAu5
_chemical_formula_sum 'Ba1 Al2 Cd1 Au5'
_cell_length_a 4.9199
_cell_length_b 4.9199
_cell_length_c 9.1461
_cell_angle_alpha 90.00
_cell_angle_beta 90.00
_cell_angle_gamma 90.00
_space_group_name_H-M_alt 'P 4/m m m'
_space_group_IT_number 123
_space_group_name_Hall '-P 4 2'
loop_
_atom_site_label
_atom_site_type_symbol
_atom_site_fract_x
_atom_site_fract_y
_atom_site_fract_z
_atom_site_occupancy
Ba1 Ba 0.0000 0.0000 0.0000 1
Al1 Al 0.5000 0.5000 0.2717 1
Cd1 Cd 0.0000 0.0000 0.5000 1
Au1 Au 0.0000 0.5000 0.3351 1
Au2 Au 0.5000 0.5000 0.0000 1
```

---

VASP calculation (PBE-GGA) on a geometry-optimized Li2NpNi9 structure.

Summary:
The formation energy is -0.7 eV/f.u. For the offset from the most stable computed form, the calculation gives 0 meV/atom. For the uncorrected energy, the calculation gives -5.7956 eV/atom.

```
data_Li2NpNi9
_chemical_formula_sum 'Li6 Np3 Ni27'
_cell_length_a 4.7943
_cell_length_b 4.7943
_cell_length_c 23.4985
_cell_angle_alpha 90.00
_cell_angle_beta 90.00
_cell_angle_gamma 120.00
_space_group_name_H-M_alt 'R -3 m'
_space_group_IT_number 166
_space_group_name_Hall '-R 3 2"'
loop_
_atom_site_label
_atom_site_type_symbol
_atom_site_fract_x
_atom_site_fract_y
_atom_site_fract_z
_atom_site_occupancy
Li1 Li 0.0000 0.0000 0.1464 1
Np1 Np 0.0000 0.0000 0.0000 1
Ni1 Ni 0.0000 0.0000 0.3335 1
Ni2 Ni 0.0000 0.0000 0.5000 1
Ni3 Ni 0.0018 0.5009 0.9151 1
```

---

VASP calculation (PBE-GGA) on a geometry-optimized Zr4Te5Se structure.

Summary:
Its formation energy without anion corrections is -922.1 meV/atom. For the uncorrected energy, the calculation gives -6.2607 eV/atom.

```
data_Zr4Te5Se
_chemical_formula_sum 'Zr8 Te10 Se2'
_cell_length_a 17.6024
_cell_length_b 3.9571
_cell_length_c 8.1056
_cell_angle_alpha 90.00
_cell_angle_beta 101.90
_cell_angle_gamma 90.00
_space_group_name_H-M_alt 'C 1 2/m 1'
_space_group_IT_number 12
loop_
_space_group_symop_operation_xyz
'x,y,z'
'-x,-y,-z'
'-x,y,-z'
'x,-y,z'
'x+1/2,y+1/2,z'
'-x+1/2,-y+1/2,-z'
'-x+1/2,y+1/2,-z'
'x+1/2,-y+1/2,z'
loop_
_atom_site_label
_atom_site_type_symbol
_atom_site_fract_x
_atom_site_fract_y
_atom_site_fract_z
_atom_site_occupancy
Zr1 Zr 0.0012 0.0000 0.2788 1
Zr2 Zr 0.1537 0.5000 0.5697 1
Te1 Te 0.0000 0.5000 0.0000 1
Te2 Te 0.1657 0.0000 0.8372 1
Te3 Te 0.1723 0.0000 0.3111 1
Se1 Se 0.0000 0.5000 0.5000 1
```

---

VASP calculation (PBE-GGA) on a geometry-optimized ErThRh2 structure.

Summary:
The formation energy is -3.3 eV/f.u. For the offset from the most stable computed form, the calculation gives 107 meV/atom. For the uncorrected energy, the calculation gives -7.5005 eV/atom.

```
data_ErThRh2
_chemical_formula_sum 'Er4 Th4 Rh8'
_cell_length_a 6.9933
_cell_length_b 6.9933
_cell_length_c 6.9933
_cell_angle_alpha 90.00
_cell_angle_beta 90.00
_cell_angle_gamma 90.00
_space_group_name_H-M_alt 'F m -3 m'
_space_group_IT_number 225
_space_group_name_Hall '-F 4 2 3'
loop_
_atom_site_label
_atom_site_type_symbol
_atom_site_fract_x
_atom_site_fract_y
_atom_site_fract_z
_atom_site_occupancy
Er1 Er 0.0000 0.0000 0.0000 1
Th1 Th 0.0000 0.0000 0.5000 1
Rh1 Rh 0.2500 0.2500 0.2500 1
```